[1]
# PBE+U CdCoN2O, optimized geometry
data_CdCoN2O
_chemical_formula_sum 'Cd1 Co1 N2 O1'
_cell_length_a 4.213
_cell_length_b 4.213
_cell_length_c 4.164
_cell_angle_alpha 90.00
_cell_angle_beta 90.00
_cell_angle_gamma 90.00
_space_group_name_H-M_alt 'P 1'
_space_group_IT_number 1
loop_
_space_group_symop_operation_xyz
'x,y,z'
loop_
_atom_site_label
_atom_site_type_symbol
_atom_site_fract_x
_atom_site_fract_y
_atom_site_fract_z
_atom_site_occupancy
N1 N 0.000 0.500 0.000 1
N2 N 0.500 0.000 0.000 1
Co1 Co 0.500 0.500 0.500 1
O1 O 0.000 0.000 0.500 1
Cd1 Cd 0.000 0.000 0.000 1
# ρ (Mg/m³): 4.8
# E (eV/atom): -3.63
# Space group: No. 123
# D(E_F) (states/eV/cell): 2.00
# V (Å³/atom): 14.8



[2]
# PBE+U CdCoN2O, optimized geometry
data_CdCoN2O
_chemical_formula_sum 'Cd1 Co1 N2 O1'
_cell_length_a 3.572
_cell_length_b 3.572
_cell_length_c 4.446
_cell_angle_alpha 90.00
_cell_angle_beta 90.00
_cell_angle_gamma 90.00
_space_group_name_H-M_alt 'P 1'
_space_group_IT_number 1
loop_
_space_group_symop_operation_xyz
'x,y,z'
loop_
_atom_site_label
_atom_site_type_symbol
_atom_site_fract_x
_atom_site_fract_y
_atom_site_fract_z
_atom_site_occupancy
N1 N 0.000 0.500 0.000 1
N2 N 0.500 0.000 0.000 1
Co1 Co 0.000 0.000 0.000 1
O1 O 0.000 0.000 0.500 1
Cd1 Cd 0.500 0.500 0.500 1
# ρ (Mg/m³): 6.3
# E (eV/atom): -4.70
# Space group: No. 123
# D(E_F) (states/eV/cell): 2.92
# V (Å³/atom): 11.3